[1]
# K4Ac3AuO8

Crystalline K4Ac3AuO8 at its relaxed geometry (PBE-GGA, Alexandria).

The structure in POSCAR format:
```
K4Ac3AuO8
1.0
-0.466 -0.092 7.224
5.442 -5.047 0.287
1.826 6.713 -3.424
O K Au Ac
8 4 1 3
Cartesian
5.246 2.945 -1.736
4.974 2.891 2.470
1.827 -1.317 1.617
2.594 2.310 0.197
5.007 0.115 0.325
4.208 -0.735 3.890
1.555 -1.370 5.823
1.794 1.460 3.762
0.680 3.311 1.900
0.000 0.000 0.000
-0.233 -0.046 3.612
0.913 3.357 -1.712
2.721 -2.523 0.144
3.401 0.787 2.043
2.488 -2.569 3.756
3.634 0.833 -1.569
```

Uncorrected energy   -5.79 eV/atom

***

[2]
# KMnFe2Br8

Crystalline KMnFe2Br8 at its relaxed geometry (PBE-GGA, Alexandria).

The structure in POSCAR format:
```
KMnFe2Br8
1.0
6.737 -0.383 0.089
2.768 6.154 0.089
0.603 0.366 9.617
Br Fe Mn K
8 2 1 1
Cartesian
3.768 4.557 2.074
3.193 1.939 5.520
2.896 1.758 9.603
6.340 1.580 7.722
5.781 1.241 2.074
7.213 4.379 0.192
6.915 4.199 4.276
4.327 4.897 7.722
4.059 2.464 7.635
6.050 3.673 2.160
0.000 0.000 0.000
0.301 0.183 4.809
```

Uncorrected energy   -4.11 eV/atom

***

[3]
# Th2GaFe

Crystalline Th2GaFe at its relaxed geometry (PBE-GGA, Alexandria).

The structure in POSCAR format:
```
Th2GaFe
1.0
5.844 0.000 0.000
0.000 6.151 -0.592
0.000 -2.093 10.606
Ga Th Fe
4 8 4
Cartesian
2.045 -0.374 4.549
3.799 4.433 5.465
3.799 1.655 9.556
2.045 2.404 0.458
0.844 1.602 8.534
3.918 1.456 6.345
0.844 4.486 6.487
1.925 5.578 0.746
5.000 -0.428 3.527
3.918 -1.519 9.269
5.000 2.457 1.480
1.925 2.603 3.670
0.938 -1.551 9.690
0.938 1.487 5.923
4.906 2.571 4.091
4.906 5.609 0.324
```

Distance to the lowest polymorph of the same formula   0.0000 eV/atom
Energy relative to the elements   -227 meV/atom
Uncorrected energy   -6.81 eV/atom

***

[4]
# V3NiIr2

Crystalline V3NiIr2 at its relaxed geometry (PBE-GGA, Alexandria).

The structure in POSCAR format:
```
V3NiIr2
1.0
-2.943 6.742 -1.111
-5.444 -2.436 -0.360
3.941 2.351 3.826
V Ni Ir
6 2 4
Cartesian
-2.134 3.124 1.211
-3.605 6.495 0.656
-0.449 8.105 2.064
-5.290 1.514 -0.197
-6.762 4.885 -0.752
1.023 4.734 2.619
-0.647 1.481 -0.244
-3.621 4.768 2.666
-4.388 4.035 0.256
0.120 2.213 2.167
-2.916 0.664 0.812
-1.351 5.584 1.610
```

Energy relative to the elements   -419 meV/atom
Uncorrected energy   -8.90 eV/atom

***

Q: Which total moment values were calculated for the entries above? A: 0.0 14.0 0.0 0.0, in μB per formula unit.